# 1
{
  "formula": "LiCaPd3",
  "functional": "GGA-PBE",
  "state": "optimized geometry",
  "lattice": [[4.435, 0.000, 0.000], [0.000, 4.435, 0.000], [0.000, 0.000, 4.435]],
  "species": ["Li", "Ca", "Pd", "Pd", "Pd"],
  "fractional_positions": [[0.000, 0.000, 0.000], [0.500, 0.500, 0.500], [0.000, 0.000, 0.500], [0.000, 0.500, 0.000], [0.500, 0.000, 0.000]],
  "ef_mev_per_atom": -310,
  "polymorph_energy_kj_per_mol_atoms": 8.1,
  "density_g_cm3": 7.0,
  "dos_at_fermi_per_ev_cell": 1.49,
  "total_magnetization_mub_per_cell": 0.00
}

# 2
{
  "formula": "LiCa3Pd",
  "functional": "GGA-PBE",
  "state": "optimized geometry",
  "lattice": [[8.662, 0.000, 0.000], [0.000, 4.051, 0.000], [-3.259, 0.000, 8.372]],
  "species": ["Li", "Li", "Ca", "Ca", "Ca", "Ca", "Ca", "Ca", "Pd", "Pd"],
  "fractional_positions": [[0.060, 0.250, 0.093], [0.940, 0.750, 0.907], [0.118, 0.250, 0.714], [0.321, 0.250, 0.440], [0.387, 0.750, 0.098], [0.613, 0.250, 0.902], [0.679, 0.750, 0.560], [0.882, 0.750, 0.286], [0.378, 0.750, 0.703], [0.622, 0.250, 0.297]],
  "ef_mev_per_atom": -302,
  "polymorph_energy_kj_per_mol_atoms": 0.0,
  "density_g_cm3": 2.6,
  "dos_at_fermi_per_ev_cell": 6.07,
  "total_magnetization_mub_per_cell": 0.00
}

# 3
{
  "formula": "Li2CaPd3",
  "functional": "GGA-PBE",
  "state": "optimized geometry",
  "lattice": [[5.513, 0.000, 0.000], [-2.756, 4.774, 0.000], [0.000, 0.000, 3.939]],
  "species": ["Li", "Li", "Ca", "Pd", "Pd", "Pd"],
  "fractional_positions": [[0.333, 0.667, 0.000], [0.667, 0.333, 0.000], [0.000, 0.000, 0.000], [0.000, 0.500, 0.500], [0.500, 0.000, 0.500], [0.500, 0.500, 0.500]],
  "ef_mev_per_atom": -507,
  "density_g_cm3": 6.0,
  "dos_at_fermi_per_ev_cell": 2.97,
  "total_magnetization_mub_per_cell": 0.00
}